Crystalline ScIn5 at its relaxed geometry, computed with PBE.

Calculated total energy in eV per cell: -19.82
SG: F-43m
Distance to the lowest polymorph of the same formula in meV/atom: 157.7
Formation energy in meV/atom: 34
Calculated density in kg/m3: 6588

CIF file:
```
data_ScIn5
_cell_length_a 6.0430
_cell_length_b 6.0430
_cell_length_c 6.0430
_cell_angle_alpha 60.00
_cell_angle_beta 60.00
_cell_angle_gamma 60.00
_symmetry_space_group_name_H-M 'P 1'
_symmetry_Int_Tables_number 1
loop_
_symmetry_equiv_pos_as_xyz
'x,y,z'
loop_
_atom_site_label
_atom_site_type_symbol
_atom_site_fract_x
_atom_site_fract_y
_atom_site_fract_z
_atom_site_occupancy
Sc1 Sc 0.0000 0.0000 0.0000 1
In1 In 0.3751 0.3751 0.3751 1
In2 In 0.3751 0.3751 0.8747 1
In3 In 0.3751 0.8747 0.3751 1
In4 In 0.7500 0.7500 0.7500 1
In5 In 0.8747 0.3751 0.3751 1
```

Crystalline MnSi2Ru at its relaxed geometry, computed with PBE.

Calculated total energy in eV per cell: -30.31
SG: R-3m
Formation energy (no corrections) in kJ/mol of atoms: -24.7
Calculated density in kg/m3: 6917

CIF file:
```
data_MnSi2Ru
_cell_length_a 7.8277
_cell_length_b 7.8277
_cell_length_c 7.8277
_cell_angle_alpha 20.39
_cell_angle_beta 20.39
_cell_angle_gamma 20.39
_symmetry_space_group_name_H-M 'P 1'
_symmetry_Int_Tables_number 1
loop_
_symmetry_equiv_pos_as_xyz
'x,y,z'
loop_
_atom_site_label
_atom_site_type_symbol
_atom_site_fract_x
_atom_site_fract_y
_atom_site_fract_z
_atom_site_occupancy
Mn1 Mn 0.0000 0.0000 0.0000 1
Si1 Si 0.2513 0.2513 0.2513 1
Si2 Si 0.7487 0.7487 0.7487 1
Ru1 Ru 0.5000 0.5000 0.5000 1
```

Crystalline Sb2Te2Br at its relaxed geometry, computed with PBE.

Calculated total energy in eV per cell: -31.51
SG: P4/mbm
Distance to the lowest polymorph of the same formula in meV/atom: 255.2
Formation energy (no corrections) in kJ/mol of atoms: 8.6
Calculated density in kg/m3: 6382

CIF file:
```
data_Sb2Te2Br
_cell_length_a 8.7747
_cell_length_b 8.7747
_cell_length_c 3.9107
_cell_angle_alpha 90.00
_cell_angle_beta 90.00
_cell_angle_gamma 90.00
_symmetry_space_group_name_H-M 'P 1'
_symmetry_Int_Tables_number 1
loop_
_symmetry_equiv_pos_as_xyz
'x,y,z'
loop_
_atom_site_label
_atom_site_type_symbol
_atom_site_fract_x
_atom_site_fract_y
_atom_site_fract_z
_atom_site_occupancy
Sb1 Sb 0.1306 0.3694 0.0000 1
Sb2 Sb 0.3694 0.8694 0.0000 1
Sb3 Sb 0.6306 0.1306 0.0000 1
Sb4 Sb 0.8694 0.6306 0.0000 1
Te1 Te 0.1533 0.6533 0.5000 1
Te2 Te 0.3467 0.1533 0.5000 1
Te3 Te 0.6533 0.8467 0.5000 1
Te4 Te 0.8467 0.3467 0.5000 1
Br1 Br 0.0000 0.0000 0.5000 1
Br2 Br 0.5000 0.5000 0.5000 1
```

Crystalline Rb2EuCl4 at its relaxed geometry, computed with PBE.

Calculated total energy in eV per cell: -34.34
SG: I4/mmm
Formation energy (no corrections) in kJ/mol of atoms: -203.2
Calculated density in kg/m3: 2909

CIF file:
```
data_Rb2EuCl4
_cell_length_a 9.3138
_cell_length_b 9.3138
_cell_length_c 9.3138
_cell_angle_alpha 144.94
_cell_angle_beta 144.94
_cell_angle_gamma 50.43
_symmetry_space_group_name_H-M 'P 1'
_symmetry_Int_Tables_number 1
loop_
_symmetry_equiv_pos_as_xyz
'x,y,z'
loop_
_atom_site_label
_atom_site_type_symbol
_atom_site_fract_x
_atom_site_fract_y
_atom_site_fract_z
_atom_site_occupancy
Rb1 Rb 0.1420 0.1420 0.0000 1
Rb2 Rb 0.8580 0.8580 0.0000 1
Eu1 Eu 0.5000 0.5000 0.0000 1
Cl1 Cl 0.0000 0.5000 0.5000 1
Cl2 Cl 0.3316 0.3316 0.0000 1
Cl3 Cl 0.5000 0.0000 0.5000 1
Cl4 Cl 0.6684 0.6684 0.0000 1
```

| no. | total magnetization (μB/f.u.) |
| --- | --- |
| 1 | 0.00 |
| 2 | 1.86 |
| 3 | 0.00 |
| 4 | 7.00 |